DFT (GGA+U) results for a relaxed structure of PaMnCrO6.

Results
energy: -8.205 eV per atom

Unit cell a=5.260 b=5.260 c=8.668 alpha=90.00 beta=90.00 gamma=120.00
Last column: magnetic moment on the atom in μB.
Fractional coordinates of all 18 atoms:
O 0.980 0.308 0.123  0.04
O 0.328 0.308 0.377  0.04
O 0.020 0.328 0.623  0.04
O 0.020 0.692 0.877  0.04
Cr 0.667 0.333 0.250  2.91
Mn 0.000 0.000 0.000  -3.23
Mn 0.000 0.000 0.500  -3.23
Pa 0.667 0.333 0.750  0.04
O 0.672 0.692 0.623  0.04
O 0.308 0.980 0.623  0.04
O 0.980 0.672 0.377  0.04
O 0.692 0.672 0.123  0.04
O 0.308 0.328 0.877  0.04
O 0.328 0.020 0.123  0.04
O 0.692 0.020 0.377  0.04
O 0.672 0.980 0.877  0.04
Pa 0.333 0.667 0.250  0.04
Cr 0.333 0.667 0.750  2.91